Material: CuHg2Cl
Method: DFT, PBEsol
State: optimized geometry

Results
The uncorrected formation energy comes out at 0.084 eV per atom. Its density of states at the Fermi level is 0.95 states/eV/cell. The calculation puts the spin magnetization at 0.0 μB/cell. The calculation puts the energy at -1.785 eV/atom. As for the mass density: 10.49 g cm⁻³.

a b c (Å): 5.394 8.568 3.427
angles (deg): 90.00 90.00 90.00
Space group Cmmm (No. 65)
Asymmetric unit:
Cu  0.000  0.000  0.000
Hg  0.250  0.250  0.500
Cl  0.000  0.500  0.000

***

Material: CuHgSCl2
Method: DFT, PBEsol
State: optimized geometry

Results
The uncorrected formation energy comes out at -0.003 eV per atom. Its density of states at the Fermi level is 2.24 states/eV/cell. The calculation puts the spin magnetization at 0.0 μB/cell. The calculation puts the energy at -2.663 eV/atom. As for the mass density: 6.21 g cm⁻³.

a b c (Å): 4.484 4.484 4.886
angles (deg): 90.00 90.00 90.00
Space group P4/mmm (No. 123)
Asymmetric unit:
Cu  0.000  0.000  0.000
Hg  0.500  0.500  0.500
S  0.000  0.000  0.500
Cl  0.000  0.500  0.000

***

Material: CuHgSeCl
Method: DFT, PBEsol
State: optimized geometry

Results
The uncorrected formation energy comes out at -0.325 eV per atom. Its density of states at the Fermi level is 0.00 states/eV/cell. The calculation puts the spin magnetization at 0.0 μB/cell. The calculation puts the energy at -3.014 eV/atom. As for the mass density: 6.77 g cm⁻³.

a b c (Å): 7.127 12.568 4.146
angles (deg): 90.00 90.00 90.00
Space group Pbam (No. 55)
Asymmetric unit:
Cu  0.185  0.023  0.000
Hg  0.089  0.747  0.500
Se  0.156  0.107  0.500
Cl  0.169  0.368  0.000

***

Material: CuI2Cl
Method: DFT, PBEsol
State: optimized geometry

Results
The uncorrected formation energy comes out at 0.442 eV per atom. Its density of states at the Fermi level is 20.26 states/eV/cell. The calculation puts the spin magnetization at 0.0 μB/cell. The calculation puts the energy at -2.027 eV/atom. As for the mass density: 6.39 g cm⁻³.

a b c (Å): 7.158 7.158 7.158
angles (deg): 90.00 90.00 90.00
Space group Fm-3m (No. 225)
Asymmetric unit:
Cu  0.000  0.000  0.000
I  0.250  0.250  0.250
Cl  0.000  0.000  0.500

***

Material: KCuICl2
Method: DFT, PBEsol
State: optimized geometry

Results
The uncorrected formation energy comes out at 0.288 eV per atom. Its density of states at the Fermi level is 4.42 states/eV/cell. The calculation puts the spin magnetization at 1.1 μB/cell. The calculation puts the energy at -1.962 eV/atom. As for the mass density: 3.00 g cm⁻³.

a b c (Å): 5.408 5.408 5.684
angles (deg): 90.00 90.00 90.00
Space group P4/mmm (No. 123)
Asymmetric unit:
K  0.000  0.000  0.000
Cu  0.000  0.000  0.500
I  0.500  0.500  0.500
Cl  0.000  0.500  0.000

***

Material: CuP2ICl
Method: DFT, PBEsol
State: optimized geometry

Results
The uncorrected formation energy comes out at 0.514 eV per atom. Its density of states at the Fermi level is 3.12 states/eV/cell. The calculation puts the spin magnetization at 0.0 μB/cell. The calculation puts the energy at -3.425 eV/atom. As for the mass density: 4.96 g cm⁻³.

a b c (Å): 4.630 4.630 4.498
angles (deg): 90.00 90.00 90.00
Space group P4/mmm (No. 123)
Asymmetric unit:
Cu  0.000  0.000  0.000
P  0.000  0.500  0.000
I  0.500  0.500  0.500
Cl  0.000  0.000  0.500

***

Material: CuTeI2Cl
Method: DFT, PBEsol
State: optimized geometry

Results
The uncorrected formation energy comes out at 0.258 eV per atom. Its density of states at the Fermi level is 3.96 states/eV/cell. The calculation puts the spin magnetization at 0.0 μB/cell. The calculation puts the energy at -2.423 eV/atom. As for the mass density: 5.81 g cm⁻³.

a b c (Å): 5.167 5.167 5.142
angles (deg): 90.00 90.00 90.00
Space group P4/mmm (No. 123)
Asymmetric unit:
Cu  0.000  0.000  0.000
Te  0.000  0.000  0.500
I  0.000  0.500  0.000
Cl  0.500  0.500  0.500

***

Material: In2CuCl
Method: DFT, PBEsol
State: optimized geometry

Results
The uncorrected formation energy comes out at -0.117 eV per atom. Its density of states at the Fermi level is 2.66 states/eV/cell. The calculation puts the spin magnetization at 0.0 μB/cell. The calculation puts the energy at -3.194 eV/atom. As for the mass density: 6.50 g cm⁻³.

a b c (Å): 3.201 5.289 9.913
angles (deg): 90.00 90.00 90.00
Space group Imm2 (No. 44)
Asymmetric unit:
In  0.000  0.000  0.000
In  0.000  0.500  0.215
Cu  0.000  0.000  0.500
Cl  0.000  0.500  0.817

***

Material: In2CuCl
Method: DFT, PBEsol
State: optimized geometry

Results
The uncorrected formation energy comes out at -0.154 eV per atom. Its density of states at the Fermi level is 1.13 states/eV/cell. The calculation puts the spin magnetization at 0.0 μB/cell. The calculation puts the energy at -3.231 eV/atom. As for the mass density: 6.44 g cm⁻³.

a b c (Å): 3.217 4.755 5.535
angles (deg): 90.00 90.00 90.00
Space group Pmmm (No. 47)
Asymmetric unit:
In  0.000  0.000  0.000
In  0.500  0.500  0.500
Cu  0.000  0.000  0.500
Cl  0.500  0.500  0.000

***

Material: In2CuCl
Method: DFT, PBEsol
State: optimized geometry

Results
The uncorrected formation energy comes out at -0.189 eV per atom. Its density of states at the Fermi level is 3.36 states/eV/cell. The calculation puts the spin magnetization at 0.0 μB/cell. The calculation puts the energy at -3.266 eV/atom. As for the mass density: 6.40 g cm⁻³.

a b c (Å): 3.6227 3.6227 22.5211
angles (deg): 90.00 90.00 120.00
Space group R-3m (No. 166, hexagonal axes)
Asymmetric unit:
In  0.0000  0.0000  0.2375
Cu  0.0000  0.0000  0.5000
Cl  0.0000  0.0000  0.0000

***

Material: Rb2InCuCl6
Method: DFT, PBEsol
State: optimized geometry

Results
The uncorrected formation energy comes out at -1.323 eV per atom. Its density of states at the Fermi level is 8.50 states/eV/cell. The calculation puts the spin magnetization at 0.0 μB/cell. The calculation puts the energy at -3.465 eV/atom. As for the mass density: 3.74 g cm⁻³.

a b c (Å): 9.996 9.996 9.996
angles (deg): 90.00 90.00 90.00
Space group Fm-3m (No. 225)
Asymmetric unit:
Rb  0.250  0.250  0.250
In  0.000  0.000  0.000
Cu  0.000  0.000  0.500
Cl  0.000  0.000  0.255

***

Material: CuIrCl2
Method: DFT, PBEsol
State: optimized geometry

Results
The uncorrected formation energy comes out at 0.029 eV per atom. The calculation puts the spin magnetization at 0.0 μB/cell. The calculation puts the energy at -4.514 eV/atom. As for the mass density: 7.72 g cm⁻³.

a b c (Å): 3.4106 3.4106 20.9327
angles (deg): 90.00 90.00 120.00
Space group R3m (No. 160, hexagonal axes)
Asymmetric unit:
Cu  0.0000  0.0000  0.0000
Ir  0.0000  0.0000  0.2556
Cl  0.0000  0.0000  0.5329
Cl  0.0000  0.0000  0.7303

***

Material: Cu2IrCl
Method: DFT, PBEsol
State: optimized geometry

Results
The uncorrected formation energy comes out at 0.440 eV per atom. Its density of states at the Fermi level is 5.05 states/eV/cell. The calculation puts the spin magnetization at 0.0 μB/cell. The calculation puts the energy at -4.685 eV/atom. As for the mass density: 10.78 g cm⁻³.

a b c (Å): 2.728 4.871 8.225
angles (deg): 90.00 90.00 90.00
Space group Cmm2 (No. 35)
Asymmetric unit:
Cu  0.000  0.000  0.000
Cu  0.000  0.500  0.240
Ir  0.000  0.000  0.494
Cl  0.000  0.500  0.760

***

Material: CuIrCl2
Method: DFT, PBEsol
State: optimized geometry

Results
The uncorrected formation energy comes out at 0.404 eV per atom. Its density of states at the Fermi level is 7.03 states/eV/cell. The calculation puts the spin magnetization at 0.0 μB/cell. The calculation puts the energy at -4.140 eV/atom. As for the mass density: 7.58 g cm⁻³.

a b c (Å): 3.044 3.461 13.579
angles (deg): 90.00 90.00 90.00
Space group Imm2 (No. 44)
Asymmetric unit:
Cu  0.000  0.000  0.000
Ir  0.000  0.500  0.654
Cl  0.000  0.000  0.434
Cl  0.000  0.500  0.203

***

Material: CuIrCl2
Method: DFT, PBEsol
State: optimized geometry

Results
The uncorrected formation energy comes out at 0.106 eV per atom. Its density of states at the Fermi level is 9.09 states/eV/cell. The calculation puts the spin magnetization at 0.0 μB/cell. The calculation puts the energy at -4.438 eV/atom. As for the mass density: 6.57 g cm⁻³.

a b c (Å): 15.082 2.663 4.284
angles (deg): 90.00 106.24 90.00
Space group C2/m (No. 12)
Asymmetric unit:
Cu  0.000  0.000  0.000
Ir  0.000  0.500  0.500
Cl  0.156  0.500  0.655

***

Material: Cu2IrCl
Method: DFT, PBEsol
State: optimized geometry

Results
The uncorrected formation energy comes out at 0.732 eV per atom. Its density of states at the Fermi level is 10.03 states/eV/cell. The calculation puts the spin magnetization at 0.0 μB/cell. The calculation puts the energy at -4.393 eV/atom. As for the mass density: 10.91 g cm⁻³.

a b c (Å): 3.689 3.689 7.937
angles (deg): 90.00 90.00 90.00
Space group I-4m2 (No. 119)
Asymmetric unit:
Cu  0.000  0.000  0.000
Cu  0.000  0.500  0.250
Ir  0.000  0.000  0.500
Cl  0.000  0.500  0.750

***

Material: CuIrCl2
Method: DFT, PBEsol
State: optimized geometry

Results
The uncorrected formation energy comes out at 0.843 eV per atom. Its density of states at the Fermi level is 3.66 states/eV/cell. The calculation puts the spin magnetization at 1.9 μB/cell. The calculation puts the energy at -3.700 eV/atom. As for the mass density: 8.95 g cm⁻³.

a b c (Å): 2.958 2.958 6.926
angles (deg): 90.00 90.00 90.00
Space group P4/mmm (No. 123)
Asymmetric unit:
Cu  0.000  0.000  0.000
Ir  0.000  0.000  0.500
Cl  0.500  0.500  0.230

***

Material: CuIrCl2
Method: DFT, PBEsol
State: optimized geometry

Results
The uncorrected formation energy comes out at 0.132 eV per atom. Its density of states at the Fermi level is 2.03 states/eV/cell. The calculation puts the spin magnetization at 0.0 μB/cell. The calculation puts the energy at -4.411 eV/atom. As for the mass density: 7.10 g cm⁻³.

a b c (Å): 3.566 3.210 6.788
angles (deg): 90.00 100.36 90.00
Space group Pm (No. 6)
Asymmetric unit:
Cu  0.000  0.000  0.000
Ir  0.545  0.500  0.127
Cl  0.325  0.500  0.785
Cl  0.661  0.000  0.372

***

Material: CuPIrCl2
Method: DFT, PBEsol
State: optimized geometry

Results
The uncorrected formation energy comes out at 1.117 eV per atom. Its density of states at the Fermi level is 5.79 states/eV/cell. The calculation puts the spin magnetization at 2.0 μB/cell. The calculation puts the energy at -3.676 eV/atom. As for the mass density: 6.55 g cm⁻³.

a b c (Å): 4.294 4.294 4.915
angles (deg): 90.00 90.00 90.00
Space group P4/mmm (No. 123)
Asymmetric unit:
Cu  0.000  0.000  0.000
P  0.000  0.000  0.500
Ir  0.500  0.500  0.500
Cl  0.000  0.500  0.000

***

Material: CuIrSCl2
Method: DFT, PBEsol
State: optimized geometry

Results
The uncorrected formation energy comes out at 0.992 eV per atom. Its density of states at the Fermi level is 5.81 states/eV/cell. The calculation puts the spin magnetization at 2.3 μB/cell. The calculation puts the energy at -3.519 eV/atom. As for the mass density: 6.62 g cm⁻³.

a b c (Å): 4.364 4.364 4.724
angles (deg): 90.00 90.00 90.00
Space group P4/mmm (No. 123)
Asymmetric unit:
Cu  0.000  0.000  0.000
Ir  0.500  0.500  0.500
S  0.000  0.000  0.500
Cl  0.000  0.500  0.000

***

Material: K3CuCl
Method: DFT, PBEsol
State: optimized geometry

Results
The uncorrected formation energy comes out at -0.373 eV per atom. Its density of states at the Fermi level is 2.64 states/eV/cell. The calculation puts the spin magnetization at 0.0 μB/cell. The calculation puts the energy at -2.321 eV/atom. As for the mass density: 1.76 g cm⁻³.

a b c (Å): 5.891 5.891 5.891
angles (deg): 90.00 90.00 90.00
Space group Pm-3m (No. 221)
Asymmetric unit:
K  0.000  0.000  0.500
Cu  0.500  0.500  0.500
Cl  0.000  0.000  0.000

***

Material: K2LuCuCl6
Method: DFT, PBEsol
State: optimized geometry

Results
The uncorrected formation energy comes out at -1.744 eV per atom. Its density of states at the Fermi level is 0.00 states/eV/cell. The calculation puts the spin magnetization at 0.1 μB/cell. The calculation puts the energy at -4.096 eV/atom. As for the mass density: 3.51 g cm⁻³.

a b c (Å): 10.004 10.004 10.004
angles (deg): 90.00 90.00 90.00
Space group Fm-3m (No. 225)
Asymmetric unit:
K  0.250  0.250  0.250
Lu  0.000  0.000  0.000
Cu  0.000  0.000  0.500
Cl  0.000  0.000  0.254

***

Material: K2CuSbCl6
Method: DFT, PBEsol
State: optimized geometry

Results
The uncorrected formation energy comes out at -1.194 eV per atom. The calculation puts the spin magnetization at 0.0 μB/cell. The calculation puts the energy at -3.514 eV/atom. As for the mass density: 3.04 g cm⁻³.

a b c (Å): 10.133 10.133 10.133
angles (deg): 90.00 90.00 90.00
Space group Fm-3m (No. 225)
Asymmetric unit:
K  0.250  0.250  0.250
Cu  0.000  0.000  0.000
Sb  0.000  0.000  0.500
Cl  0.000  0.000  0.240

***

Material: K2ScCuCl6
Method: DFT, PBEsol
State: optimized geometry

Results
The uncorrected formation energy comes out at -1.696 eV per atom. Its density of states at the Fermi level is 0.00 states/eV/cell. The calculation puts the spin magnetization at 0.0 μB/cell. The calculation puts the energy at -4.222 eV/atom. As for the mass density: 2.78 g cm⁻³.

a b c (Å): 9.846 9.846 9.846
angles (deg): 90.00 90.00 90.00
Space group Fm-3m (No. 225)
Asymmetric unit:
K  0.250  0.250  0.250
Sc  0.000  0.000  0.000
Cu  0.000  0.000  0.500
Cl  0.000  0.000  0.251

***

Material: K2TbCuCl6
Method: DFT, PBEsol
State: optimized geometry

Results
The uncorrected formation energy comes out at -1.733 eV per atom. Its density of states at the Fermi level is 0.00 states/eV/cell. The calculation puts the spin magnetization at 0.0 μB/cell. The calculation puts the energy at -4.099 eV/atom. As for the mass density: 3.28 g cm⁻³.

a b c (Å): 10.131 10.131 10.131
angles (deg): 90.00 90.00 90.00
Space group Fm-3m (No. 225)
Asymmetric unit:
K  0.250  0.250  0.250
Tb  0.000  0.000  0.000
Cu  0.000  0.000  0.500
Cl  0.000  0.000  0.257

***

Material: K2TlCuCl6
Method: DFT, PBEsol
State: optimized geometry

Results
The uncorrected formation energy comes out at -1.160 eV per atom. Its density of states at the Fermi level is 11.23 states/eV/cell. The calculation puts the spin magnetization at 0.0 μB/cell. The calculation puts the energy at -3.288 eV/atom. As for the mass density: 3.61 g cm⁻³.

a b c (Å): 10.094 10.094 10.094
angles (deg): 90.00 90.00 90.00
Space group Fm-3m (No. 225)
Asymmetric unit:
K  0.250  0.250  0.250
Tl  0.000  0.000  0.000
Cu  0.000  0.000  0.500
Cl  0.000  0.000  0.263

***

Material: K2YCuCl6
Method: DFT, PBEsol
State: optimized geometry

Results
The uncorrected formation energy comes out at -1.741 eV per atom. Its density of states at the Fermi level is 0.00 states/eV/cell. The calculation puts the spin magnetization at 0.1 μB/cell. The calculation puts the energy at -4.288 eV/atom. As for the mass density: 2.85 g cm⁻³.

a b c (Å): 10.107 10.107 10.107
angles (deg): 90.00 90.00 90.00
Space group Fm-3m (No. 225)
Asymmetric unit:
K  0.250  0.250  0.250
Y  0.000  0.000  0.000
Cu  0.000  0.000  0.500
Cl  0.000  0.000  0.257